This record from Alexandria via LeMat-Bulk describes a geometry-optimized RbTaBe structure. The functional is PBE.

extended XYZ file:
```
6
Lattice="5.064 0.000 0.000 -2.532 4.385 0.000 0.000 0.000 5.448" Properties=species:S:1:pos:R:3 pbc="T T T"
Rb 0.000 0.000 0.000
Rb 0.000 0.000 2.724
Ta 0.000 2.924 0.726
Ta 2.532 1.462 3.450
Be 0.000 2.924 3.506
Be 2.532 1.462 0.782
```

For the total energy, the calculation gives -22.2 eV/cell. For the formation energy from the elements, the calculation gives 1809 meV/atom. For the density, the calculation gives 7561 kg/m³. The energy above the most stable polymorph in this dataset comes out at 1358 meV/atom.